1.
IrW2: optimized geometry, PBE.

Structure (CIF):
```
data_IrW2
_space_group_name_H-M_alt 'P 4/m m m'
_space_group_IT_number 123
_space_group_name_Hall '-P 4 2'
_cell_length_a 4.518
_cell_length_b 4.518
_cell_length_c 2.752
_cell_angle_alpha 90.00
_cell_angle_beta 90.00
_cell_angle_gamma 90.00
loop_
_atom_site_label
_atom_site_type_symbol
_atom_site_fract_x
_atom_site_fract_y
_atom_site_fract_z
Ir1 Ir 0.000 0.000 0.000
W1 W 0.000 0.500 0.500
```

Calculated values
Energy above the most stable polymorph in this dataset in meV per atom: 1052

***

2.
IrW2: optimized geometry, PBE.

Structure (CIF):
```
data_IrW2
_space_group_name_H-M_alt 'C 1 m 1'
_space_group_IT_number 8
_space_group_name_Hall 'C -2y'
_cell_length_a 10.379
_cell_length_b 2.764
_cell_length_c 6.765
_cell_angle_alpha 90.00
_cell_angle_beta 105.22
_cell_angle_gamma 90.00
loop_
_atom_site_label
_atom_site_type_symbol
_atom_site_fract_x
_atom_site_fract_y
_atom_site_fract_z
Ir1 Ir 0.000 0.000 0.000
Ir2 Ir 0.174 0.500 0.338
W1 W 0.065 0.000 0.615
W2 W 0.219 0.500 0.958
W3 W 0.337 0.000 0.668
W4 W 0.399 0.000 0.276
```

Calculated values
Energy above the most stable polymorph in this dataset in meV per atom: 86

***

3.
IrW3: optimized geometry, PBE.

Structure (CIF):
```
data_IrW3
_space_group_name_H-M_alt 'C m m m'
_space_group_IT_number 65
_space_group_name_Hall '-C 2 2'
_cell_length_a 5.685
_cell_length_b 8.002
_cell_length_c 2.776
_cell_angle_alpha 90.00
_cell_angle_beta 90.00
_cell_angle_gamma 90.00
loop_
_atom_site_label
_atom_site_type_symbol
_atom_site_fract_x
_atom_site_fract_y
_atom_site_fract_z
Ir1 Ir 0.000 0.000 0.000
W1 W 0.000 0.500 0.000
W2 W 0.250 0.250 0.500
```

***

4.
Ir3W: optimized geometry, PBE.

Structure (CIF):
```
data_Ir3W
_space_group_name_H-M_alt 'P 4/m m m'
_space_group_IT_number 123
_space_group_name_Hall '-P 4 2'
_cell_length_a 2.756
_cell_length_b 2.756
_cell_length_c 7.838
_cell_angle_alpha 90.00
_cell_angle_beta 90.00
_cell_angle_gamma 90.00
loop_
_atom_site_label
_atom_site_type_symbol
_atom_site_fract_x
_atom_site_fract_y
_atom_site_fract_z
Ir1 Ir 0.000 0.000 0.000
Ir2 Ir 0.500 0.500 0.251
W1 W 0.000 0.000 0.500
```

***

5.
Ir3W: optimized geometry, PBE.

Structure (CIF):
```
data_Ir3W
_space_group_name_H-M_alt 'P m m m'
_space_group_IT_number 47
_space_group_name_Hall '-P 2 2'
_cell_length_a 2.747
_cell_length_b 3.920
_cell_length_c 5.519
_cell_angle_alpha 90.00
_cell_angle_beta 90.00
_cell_angle_gamma 90.00
loop_
_atom_site_label
_atom_site_type_symbol
_atom_site_fract_x
_atom_site_fract_y
_atom_site_fract_z
Ir1 Ir 0.000 0.000 0.000
Ir2 Ir 0.500 0.500 0.248
W1 W 0.000 0.000 0.500
```

***

6.
IrW7: optimized geometry, PBE.

Structure (CIF):
```
data_IrW7
_space_group_name_H-M_alt 'F m -3 m'
_space_group_IT_number 225
_space_group_name_Hall '-F 4 2 3'
_cell_length_a 8.024
_cell_length_b 8.024
_cell_length_c 8.024
_cell_angle_alpha 90.00
_cell_angle_beta 90.00
_cell_angle_gamma 90.00
loop_
_atom_site_label
_atom_site_type_symbol
_atom_site_fract_x
_atom_site_fract_y
_atom_site_fract_z
Ir1 Ir 0.000 0.000 0.000
W1 W 0.000 0.000 0.500
W2 W 0.000 0.250 0.250
```

***

7.
IrW2: optimized geometry, PBE.

Structure (CIF):
```
data_IrW2
_space_group_name_H-M_alt 'C m c m'
_space_group_IT_number 63
_space_group_name_Hall '-C 2c 2'
_cell_length_a 2.702
_cell_length_b 15.212
_cell_length_c 4.585
_cell_angle_alpha 90.00
_cell_angle_beta 90.00
_cell_angle_gamma 90.00
loop_
_atom_site_label
_atom_site_type_symbol
_atom_site_fract_x
_atom_site_fract_y
_atom_site_fract_z
Ir1 Ir 0.000 0.220 0.250
W1 W 0.000 0.124 0.750
W2 W 0.000 0.450 0.750
```

Calculated values
Energy above the most stable polymorph in this dataset in meV per atom: 160

***

8.
IrW3: optimized geometry, PBE.

Structure (CIF):
```
data_IrW3
_space_group_name_H-M_alt 'P m m 2'
_space_group_IT_number 25
_space_group_name_Hall 'P 2 -2'
_cell_length_a 2.730
_cell_length_b 4.638
_cell_length_c 4.993
_cell_angle_alpha 90.00
_cell_angle_beta 90.00
_cell_angle_gamma 90.00
loop_
_atom_site_label
_atom_site_type_symbol
_atom_site_fract_x
_atom_site_fract_y
_atom_site_fract_z
Ir1 Ir 0.000 0.000 0.000
W1 W 0.000 0.500 0.329
W2 W 0.500 0.000 0.512
W3 W 0.500 0.500 0.832
```

***

9.
IrW3: optimized geometry, PBE.

Structure (CIF):
```
data_IrW3
_space_group_name_H-M_alt 'R -3 m'
_space_group_IT_number 166
_space_group_name_Hall '-R 3 2"'
_cell_length_a 2.7831
_cell_length_b 2.7831
_cell_length_c 28.4782
_cell_angle_alpha 90.00
_cell_angle_beta 90.00
_cell_angle_gamma 120.00
loop_
_atom_site_label
_atom_site_type_symbol
_atom_site_fract_x
_atom_site_fract_y
_atom_site_fract_z
Ir1 Ir 0.0000 0.0000 0.0000
W1 W 0.0000 0.0000 0.2532
W2 W 0.0000 0.0000 0.5000
```

***

10.
IrW2: optimized geometry, PBE.

Structure (CIF):
```
data_IrW2
_space_group_name_H-M_alt 'C 1 2/m 1'
_space_group_IT_number 12
_space_group_name_Hall '-C 2y'
_cell_length_a 10.489
_cell_length_b 2.745
_cell_length_c 6.700
_cell_angle_alpha 90.00
_cell_angle_beta 104.28
_cell_angle_gamma 90.00
loop_
_atom_site_label
_atom_site_type_symbol
_atom_site_fract_x
_atom_site_fract_y
_atom_site_fract_z
Ir1 Ir 0.028 0.000 0.304
W1 W 0.133 0.500 0.027
W2 W 0.189 0.500 0.635
```

Calculated values
Energy above the most stable polymorph in this dataset in meV per atom: 26

***

11.
Ir3W: optimized geometry, PBE.

Structure (CIF):
```
data_Ir3W
_space_group_name_H-M_alt 'P -6 m 2'
_space_group_IT_number 187
_space_group_name_Hall 'P -6 2'
_cell_length_a 2.7740
_cell_length_b 2.7740
_cell_length_c 8.9443
_cell_angle_alpha 90.00
_cell_angle_beta 90.00
_cell_angle_gamma 120.00
loop_
_atom_site_label
_atom_site_type_symbol
_atom_site_fract_x
_atom_site_fract_y
_atom_site_fract_z
Ir1 Ir 0.0000 0.0000 0.0000
Ir2 Ir 0.6667 0.3333 0.2550
W1 W 0.0000 0.0000 0.5000
```

***

12.
IrW3: optimized geometry, PBE.

Structure (CIF):
```
data_IrW3
_space_group_name_H-M_alt 'P -6 m 2'
_space_group_IT_number 187
_space_group_name_Hall 'P -6 2'
_cell_length_a 2.7928
_cell_length_b 2.7928
_cell_length_c 9.3990
_cell_angle_alpha 90.00
_cell_angle_beta 90.00
_cell_angle_gamma 120.00
loop_
_atom_site_label
_atom_site_type_symbol
_atom_site_fract_x
_atom_site_fract_y
_atom_site_fract_z
Ir1 Ir 0.0000 0.0000 0.0000
W1 W 0.0000 0.0000 0.5000
W2 W 0.3333 0.6667 0.2387
```

***

13.
IrW3: optimized geometry, PBE.

Structure (CIF):
```
data_IrW3
_space_group_name_H-M_alt 'F m -3 m'
_space_group_IT_number 225
_space_group_name_Hall '-F 4 2 3'
_cell_length_a 6.334
_cell_length_b 6.334
_cell_length_c 6.334
_cell_angle_alpha 90.00
_cell_angle_beta 90.00
_cell_angle_gamma 90.00
loop_
_atom_site_label
_atom_site_type_symbol
_atom_site_fract_x
_atom_site_fract_y
_atom_site_fract_z
Ir1 Ir 0.000 0.000 0.000
W1 W 0.000 0.000 0.500
W2 W 0.250 0.250 0.250
```

***

14.
Ir3W: optimized geometry, PBE.

Structure (CIF):
```
data_Ir3W
_space_group_name_H-M_alt 'C m m m'
_space_group_IT_number 65
_space_group_name_Hall '-C 2 2'
_cell_length_a 5.492
_cell_length_b 7.815
_cell_length_c 2.766
_cell_angle_alpha 90.00
_cell_angle_beta 90.00
_cell_angle_gamma 90.00
loop_
_atom_site_label
_atom_site_type_symbol
_atom_site_fract_x
_atom_site_fract_y
_atom_site_fract_z
Ir1 Ir 0.000 0.000 0.000
Ir2 Ir 0.250 0.250 0.500
W1 W 0.000 0.500 0.000
```

***

15.
Ir8W: optimized geometry, PBE.

Structure (CIF):
```
data_Ir8W
_space_group_name_H-M_alt 'I 4/m m m'
_space_group_IT_number 139
_space_group_name_Hall '-I 4 2'
_cell_length_a 8.244
_cell_length_b 8.244
_cell_length_c 3.884
_cell_angle_alpha 90.00
_cell_angle_beta 90.00
_cell_angle_gamma 90.00
loop_
_atom_site_label
_atom_site_type_symbol
_atom_site_fract_x
_atom_site_fract_y
_atom_site_fract_z
Ir1 Ir 0.000 0.332 0.000
Ir2 Ir 0.163 0.163 0.500
W1 W 0.000 0.000 0.000
```

***

Record order is preserved below.
E_form: 946 -20 86 -119 -179 277 53 109 184 -81 -124 141 222 -175 -156 meV/atom